Entry 1:
# BaSN2O

An optimized crystal structure of BaSN2O (PBEsol, the Alexandria database).

Unit cell a=4.324 b=4.324 c=3.922 alpha=90.00 beta=90.00 gamma=90.00
Fractional positions:
Ba (0.000, 0.000, 0.000)
S (0.500, 0.500, 0.000)
N (0.000, 0.500, 0.500)
N (0.500, 0.000, 0.500)
O (0.500, 0.500, 0.500)

Properties
The total energy comes out at -4.69 eV/atom. Its total magnetization is 3.09 μB/f.u.

=====

Entry 2:
# BaSi6N8O

An optimized crystal structure of BaSi6N8O (PBEsol, the Alexandria database).

Unit cell a=6.792 b=6.792 c=6.792 alpha=106.45 beta=88.34 gamma=138.23
Fractional positions:
Ba (0.000, 0.000, 0.000)
Si (0.125, 0.464, 0.661)
Si (0.309, 0.164, 0.537)
Si (0.309, 0.772, 0.145)
Si (0.627, 0.164, 0.855)
Si (0.627, 0.772, 0.463)
Si (0.803, 0.464, 0.339)
N (0.029, 0.131, 0.547)
N (0.029, 0.482, 0.897)
N (0.127, 0.815, 0.312)
N (0.436, 0.211, 0.774)
N (0.436, 0.662, 0.226)
N (0.502, 0.815, 0.688)
N (0.585, 0.131, 0.103)
N (0.585, 0.482, 0.453)
O (0.875, 0.375, 0.500)

Properties
The total energy comes out at -8.36 eV/atom. Its total magnetization is 0.00 μB/f.u.

=====

Entry 3:
# BaSrSi4N4O4

An optimized crystal structure of BaSrSi4N4O4 (PBEsol, the Alexandria database).

Unit cell a=7.276 b=7.298 c=7.300 alpha=81.92 beta=81.54 gamma=81.14
Fractional positions:
Ba (0.000, 0.000, 0.000)
Ba (0.122, 0.988, 0.470)
Sr (0.133, 0.469, 0.959)
Sr (0.984, 0.525, 0.509)
Si (0.449, 0.649, 0.202)
Si (0.458, 0.150, 0.707)
Si (0.459, 0.552, 0.603)
Si (0.469, 0.059, 0.102)
Si (0.649, 0.876, 0.426)
Si (0.661, 0.378, 0.926)
Si (0.664, 0.773, 0.829)
Si (0.666, 0.278, 0.333)
N (0.497, 0.861, 0.266)
N (0.508, 0.360, 0.767)
N (0.516, 0.481, 0.382)
N (0.529, 0.981, 0.884)
N (0.594, 0.097, 0.499)
N (0.597, 0.597, 0.001)
N (0.606, 0.715, 0.621)
N (0.626, 0.212, 0.120)
O (0.228, 0.667, 0.178)
O (0.234, 0.175, 0.698)
O (0.239, 0.635, 0.638)
O (0.254, 0.159, 0.129)
O (0.867, 0.837, 0.339)
O (0.878, 0.353, 0.832)
O (0.886, 0.299, 0.326)
O (0.889, 0.780, 0.800)

Properties
The total energy comes out at -8.02 eV/atom. Its total magnetization is 0.00 μB/f.u.